Below is AcBiMoO6 after structural relaxation, with properties calculated at the GGA+U level.

Output
Total energy = -6.933 eV/atom
Calculated volume = 277 Å³ per cell

Cell lengths 5.941, 5.941, 9.051 Å; angles 90.00, 90.00, 120.00 degrees
Positions (direct):
O 0.317 0.932 0.630
O 0.385 0.068 0.130
O 0.932 0.317 0.130
O 0.068 0.683 0.870
O 0.615 0.932 0.870
O 0.683 0.068 0.370
O 0.615 0.683 0.630
O 0.385 0.317 0.370
O 0.683 0.615 0.130
O 0.317 0.385 0.870
O 0.932 0.615 0.370
O 0.068 0.385 0.630
Bi 0.000 0.000 0.500
Bi 0.000 0.000 0.000
Mo 0.333 0.667 0.750
Mo 0.667 0.333 0.250
Ac 0.333 0.667 0.250
Ac 0.667 0.333 0.750